A plane-wave DFT calculation with PBE was carried out for an optimized crystal structure of NpRe4.

a b c (Å): 4.6905 4.6905 4.6905
angles (deg): 90.00 90.00 90.00
Element x y z (fractional)
Np1 0.5000 0.5000 0.5000
Re1 0.0000 0.0000 0.0000
Re2 0.5000 0.0000 0.5000
Re3 0.0000 0.5000 0.5000
Re4 0.5000 0.5000 0.0000

Computed properties:
The total energy is -9.9916 eV per atom. The formation energy comes out at 2.555 eV per atom. For the total moment, the calculation gives 1.46 μB per cell.